Record 1
A relaxed structure of SrIr2Cl, computed with PBE.

It has space group Fm-3m (No. 225), with a = 6.833 Å, b = 6.833 Å, c = 6.833 Å, α = 90.00°, β = 90.00° and γ = 90.00°. The inequivalent atoms are Sr at (0.000, 0.000, 0.000), Ir at (0.250, 0.250, 0.250) and Cl at (0.000, 0.000, 0.500).

The calculation puts the offset from the most stable computed form at 1481 meV per atom. The value obtained for the energy is -67.6 eV/cell. As for the density: 10.57 g cm⁻³. The energy relative to the elements, uncorrected is 1.090 eV per atom. As for the total magnetization: 0.00 μB per cell.



Record 2
A relaxed structure of Sr2IrCl, computed with PBE.

It has space group Fm-3m (No. 225), with a = 7.397 Å, b = 7.397 Å, c = 7.397 Å, α = 90.00°, β = 90.00° and γ = 90.00°. The inequivalent atoms are Sr at (0.250, 0.250, 0.250), Ir at (0.000, 0.000, 0.000) and Cl at (0.000, 0.000, 0.500).

The calculation puts the offset from the most stable computed form at 187 meV per atom. The value obtained for the energy is -68.0 eV/cell. As for the density: 6.61 g cm⁻³. The energy relative to the elements, uncorrected is -0.735 eV per atom. As for the total magnetization: 0.00 μB per cell.



Record 3
A relaxed structure of SrIr2Cl, computed with PBE.

It has space group P4/mmm (No. 123), with a = 4.299 Å, b = 4.299 Å, c = 5.145 Å, α = 90.00°, β = 90.00° and γ = 90.00°. The inequivalent atoms are Sr at (0.000, 0.000, 0.000), Ir at (0.500, 0.500, 0.239) and Cl at (0.000, 0.000, 0.500).

The calculation puts the offset from the most stable computed form at 957 meV per atom. The value obtained for the energy is -19.0 eV/cell. As for the density: 8.86 g cm⁻³. The energy relative to the elements, uncorrected is 0.566 eV per atom. As for the total magnetization: 0.42 μB per cell.



Record 4
A relaxed structure of SrIr2Cl, computed with PBE.

It has space group P2/m (No. 10), with a = 3.045 Å, b = 6.254 Å, c = 4.423 Å, α = 90.00°, β = 90.02° and γ = 90.00°. The inequivalent atoms are Sr at (0.000, 0.000, 0.000), Ir at (0.267, 0.500, 0.248) and Cl at (0.500, 0.000, 0.500).

The calculation puts the offset from the most stable computed form at 346 meV per atom. The value obtained for the energy is -21.4 eV/cell. As for the density: 10.01 g cm⁻³. The energy relative to the elements, uncorrected is -0.045 eV per atom. As for the total magnetization: 0.00 μB per cell.



Record 5
A relaxed structure of SrIr2Cl, computed with PBE.

It has space group Imm2 (No. 44), with a = 3.880 Å, b = 5.659 Å, c = 8.638 Å, α = 90.00°, β = 90.00° and γ = 90.00°. The inequivalent atoms are Sr at (0.000, 0.000, 0.000), Ir at (0.000, 0.000, 0.503), Ir at (0.000, 0.500, 0.842) and Cl at (0.000, 0.500, 0.207).

The calculation puts the offset from the most stable computed form at 418 meV per atom. The value obtained for the energy is -42.3 eV/cell. As for the density: 8.89 g cm⁻³. The energy relative to the elements, uncorrected is 0.027 eV per atom. As for the total magnetization: 2.07 μB per cell.



Record 6
A relaxed structure of Sr2Ir4Cl, computed with PBE.

It has space group I4/mmm (No. 139), with a = 4.503 Å, b = 4.503 Å, c = 16.045 Å, α = 90.00°, β = 90.00° and γ = 90.00°. The inequivalent atoms are Sr at (0.000, 0.000, 0.159), Ir at (0.000, 0.000, 0.364), Ir at (0.000, 0.500, 0.000) and Cl at (0.000, 0.000, 0.500).

The value obtained for the energy is -68.9 eV/cell. As for the density: 10.00 g cm⁻³. The energy relative to the elements, uncorrected is 0.888 eV per atom. As for the total magnetization: 0.00 μB per cell.



Record 7
A relaxed structure of SrIr2Cl, computed with PBE.

It has space group R-3m (No. 166, hexagonal axes), with a = 3.0899 Å, b = 3.0899 Å, c = 27.2615 Å, α = 90.00°, β = 90.00° and γ = 120.00°. The inequivalent atoms are Sr at (0.0000, 0.0000, 0.0000), Ir at (0.0000, 0.0000, 0.2407) and Cl at (0.0000, 0.0000, 0.5000).

The calculation puts the offset from the most stable computed form at 1231 meV per atom. The value obtained for the energy is -53.7 eV/cell. As for the density: 11.22 g cm⁻³. The energy relative to the elements, uncorrected is 0.840 eV per atom. As for the total magnetization: 0.00 μB per cell.



Record 8
A relaxed structure of SrIrCl2, computed with PBE.

It has space group Pmmm (No. 47), with a = 3.610 Å, b = 3.953 Å, c = 6.567 Å, α = 90.00°, β = 90.00° and γ = 90.00°. The inequivalent atoms are Sr at (0.000, 0.000, 0.000), Ir at (0.000, 0.000, 0.500) and Cl at (0.500, 0.500, 0.239).

The calculation puts the offset from the most stable computed form at 670 meV per atom. The value obtained for the energy is -14.7 eV/cell. As for the density: 6.22 g cm⁻³. The energy relative to the elements, uncorrected is -0.110 eV per atom. As for the total magnetization: 2.10 μB per cell.



Record 9
A relaxed structure of SrIrCl2, computed with PBE.

It has space group P4/mmm (No. 123), with a = 4.709 Å, b = 4.709 Å, c = 3.814 Å, α = 90.00°, β = 90.00° and γ = 90.00°. The inequivalent atoms are Sr at (0.000, 0.000, 0.000), Ir at (0.500, 0.500, 0.000) and Cl at (0.000, 0.500, 0.500).

The calculation puts the offset from the most stable computed form at 433 meV per atom. The value obtained for the energy is -15.6 eV/cell. As for the density: 6.89 g cm⁻³. The energy relative to the elements, uncorrected is -0.347 eV per atom. As for the total magnetization: 1.41 μB per cell.



Record 10
A relaxed structure of SrIr2Cl, computed with PBE.

It has space group I4/mmm (No. 139), with a = 3.753 Å, b = 3.753 Å, c = 12.386 Å, α = 90.00°, β = 90.00° and γ = 90.00°. The inequivalent atoms are Sr at (0.000, 0.000, 0.000), Ir at (0.000, 0.500, 0.250) and Cl at (0.000, 0.000, 0.500).

The calculation puts the offset from the most stable computed form at 289 meV per atom. The value obtained for the energy is -43.3 eV/cell. As for the density: 9.66 g cm⁻³. The energy relative to the elements, uncorrected is -0.102 eV per atom. As for the total magnetization: 0.00 μB per cell.



Record 11
A relaxed structure of Sr2IrCl, computed with PBE.

It has space group P4/mmm (No. 123), with a = 4.360 Å, b = 4.360 Å, c = 5.953 Å, α = 90.00°, β = 90.00° and γ = 90.00°. The inequivalent atoms are Sr at (0.000, 0.000, 0.000), Sr at (0.500, 0.500, 0.500), Ir at (0.000, 0.000, 0.500) and Cl at (0.500, 0.500, 0.000).

The calculation puts the offset from the most stable computed form at 46 meV per atom. The value obtained for the energy is -17.6 eV/cell. As for the density: 5.91 g cm⁻³. The energy relative to the elements, uncorrected is -0.875 eV per atom. As for the total magnetization: 0.00 μB per cell.



Record 12
A relaxed structure of SrIrCl2, computed with PBE.

It has space group Cmmm (No. 65), with a = 6.443 Å, b = 7.047 Å, c = 4.153 Å, α = 90.00°, β = 90.00° and γ = 90.00°. The inequivalent atoms are Sr at (0.000, 0.000, 0.000), Ir at (0.000, 0.500, 0.000) and Cl at (0.000, 0.299, 0.500).

The calculation puts the offset from the most stable computed form at 187 meV per atom. The value obtained for the energy is -33.2 eV/cell. As for the density: 6.18 g cm⁻³. The energy relative to the elements, uncorrected is -0.593 eV per atom. As for the total magnetization: 0.00 μB per cell.



Record 13
A relaxed structure of SrIr2Cl, computed with PBE.

It has space group F-43m (No. 216), with a = 6.850 Å, b = 6.850 Å, c = 6.850 Å, α = 90.00°, β = 90.00° and γ = 90.00°. The inequivalent atoms are Sr at (0.000, 0.000, 0.000), Ir at (0.000, 0.000, 0.500), Ir at (0.250, 0.250, 0.250) and Cl at (0.250, 0.250, 0.750).

The calculation puts the offset from the most stable computed form at 864 meV per atom. The value obtained for the energy is -77.4 eV/cell. As for the density: 10.49 g cm⁻³. The energy relative to the elements, uncorrected is 0.473 eV per atom. As for the total magnetization: 9.89 μB per cell.



Record 14
A relaxed structure of SrIr2Cl, computed with PBE.

It has space group I4_1/amd (No. 141, origin choice 2), with a = 5.205 Å, b = 5.205 Å, c = 14.832 Å, α = 90.00°, β = 90.00° and γ = 90.00°. The inequivalent atoms are Sr at (0.000, 0.250, 0.375), Ir at (0.000, 0.000, 0.000) and Cl at (0.000, 0.250, 0.875).

The calculation puts the offset from the most stable computed form at 633 meV per atom. The value obtained for the energy is -81.1 eV/cell. As for the density: 8.39 g cm⁻³. The energy relative to the elements, uncorrected is 0.242 eV per atom. As for the total magnetization: 0.00 μB per cell.



Record 15
A relaxed structure of SrVIr2Cl, computed with PBE.

It has space group P4/mmm (No. 123), with a = 4.449 Å, b = 4.449 Å, c = 6.675 Å, α = 90.00°, β = 90.00° and γ = 90.00°. The inequivalent atoms are Sr at (0.000, 0.000, 0.000), V at (0.000, 0.000, 0.500), Ir at (0.000, 0.500, 0.500) and Cl at (0.500, 0.500, 0.000).

The value obtained for the energy is -28.7 eV/cell. As for the density: 7.02 g cm⁻³. The energy relative to the elements, uncorrected is 0.327 eV per atom. As for the total magnetization: 0.34 μB per cell.